No. 1
! Rb3CuOs2O9 (PBE-GGA, relaxed); values from VASP
! SG: No. 164
! E, eV per cell: -90.6
! Raw formation energy, eV/atom: -1.099
&SYSTEM
  ibrav = 0, nat = 15, ntyp = 4
/
ATOMIC_SPECIES
Rb 85.47 Rb.upf
Cu 63.55 Cu.upf
Os 190.23 Os.upf
O 16.00 O.upf
CELL_PARAMETERS angstrom
5.727 0.000 0.000
-2.864 4.960 0.000
0.000 0.000 7.175
ATOMIC_POSITIONS crystal
Rb 0.000 0.000 0.000
Rb 0.333 0.667 0.657
Rb 0.667 0.333 0.343
Cu 0.000 0.000 0.500
Os 0.333 0.667 0.166
Os 0.667 0.333 0.834
O 0.000 0.500 0.000
O 0.177 0.355 0.305
O 0.177 0.823 0.305
O 0.355 0.177 0.695
O 0.500 0.000 0.000
O 0.500 0.500 0.000
O 0.645 0.823 0.305
O 0.823 0.177 0.695
O 0.823 0.645 0.695



No. 2
! LaPbS2N (PBE-GGA, relaxed); values from VASP
! SG: No. 123
! E, eV per cell: -25.9
! Excess energy over the best structure of this formula in the dataset, eV per formula unit: 0.00
! Raw formation energy, eV/atom: -0.136
&SYSTEM
  ibrav = 0, nat = 5, ntyp = 4
/
ATOMIC_SPECIES
La 138.91 La.upf
Pb 207.20 Pb.upf
S 32.06 S.upf
N 14.01 N.upf
CELL_PARAMETERS angstrom
5.185 0.000 0.000
0.000 5.185 0.000
0.000 0.000 4.252
ATOMIC_POSITIONS crystal
La 0.000 0.000 0.000
Pb 0.500 0.500 0.500
S 0.000 0.500 0.500
S 0.500 0.000 0.500
N 0.500 0.500 0.000



No. 3
! TaTl2W (PBE-GGA, relaxed); values from VASP
! SG: No. 166
! E, eV per cell: -26.1
! Excess energy over the best structure of this formula in the dataset, eV per formula unit: 1.41
! E_form, eV/atom: 0.8672
&SYSTEM
  ibrav = 0, nat = 4, ntyp = 3
/
ATOMIC_SPECIES
Ta 180.95 Ta.upf
Tl 204.38 Tl.upf
W 183.84 W.upf
CELL_PARAMETERS angstrom
1.536 0.887 9.789
-1.536 0.887 9.789
0.000 -1.774 9.789
ATOMIC_POSITIONS crystal
Ta 0.000 0.000 0.000
Tl 0.249 0.249 0.249
Tl 0.751 0.751 0.751
W 0.500 0.500 0.500



No. 4
! PuBeRuC (PBE-GGA, relaxed); values from VASP
! SG: No. 129
! E, eV per cell: -73.2
! E_form, eV/atom: -0.0142
&SYSTEM
  ibrav = 0, nat = 8, ntyp = 4
/
ATOMIC_SPECIES
Pu 244.00 Pu.upf
Be 9.01 Be.upf
Ru 101.07 Ru.upf
C 12.01 C.upf
CELL_PARAMETERS angstrom
3.611 0.000 0.000
0.000 3.611 0.000
0.000 0.000 8.408
ATOMIC_POSITIONS crystal
Pu 0.250 0.250 0.157
Pu 0.750 0.750 0.843
Be 0.250 0.250 0.682
Be 0.750 0.750 0.318
Ru 0.250 0.750 0.500
Ru 0.750 0.250 0.500
C 0.250 0.250 0.884
C 0.750 0.750 0.116



No. 5
! Ag8HgSe6 (PBE-GGA, relaxed); values from VASP
! SG: No. 148
! E, eV per cell: -43.9
! Raw formation energy, eV/atom: 0.005
&SYSTEM
  ibrav = 0, nat = 15, ntyp = 3
/
ATOMIC_SPECIES
Ag 107.87 Ag.upf
Hg 200.59 Hg.upf
Se 78.96 Se.upf
CELL_PARAMETERS angstrom
3.734 2.156 7.446
-3.734 2.156 7.446
0.000 -4.311 7.446
ATOMIC_POSITIONS crystal
Ag 0.084 0.084 0.084
Ag 0.130 0.618 0.322
Ag 0.322 0.130 0.618
Ag 0.382 0.678 0.870
Ag 0.618 0.322 0.130
Ag 0.678 0.870 0.382
Ag 0.870 0.382 0.678
Ag 0.916 0.916 0.916
Hg 0.500 0.500 0.500
Se 0.090 0.449 0.744
Se 0.256 0.910 0.551
Se 0.449 0.744 0.090
Se 0.551 0.256 0.910
Se 0.744 0.090 0.449
Se 0.910 0.551 0.256



No. 6
! CaScHgTe2 (PBE-GGA, relaxed); values from VASP
! SG: No. 123
! E, eV per cell: -16.4
! Raw formation energy, eV/atom: -0.303
&SYSTEM
  ibrav = 0, nat = 5, ntyp = 4
/
ATOMIC_SPECIES
Ca 40.08 Ca.upf
Sc 44.96 Sc.upf
Hg 200.59 Hg.upf
Te 127.60 Te.upf
CELL_PARAMETERS angstrom
5.523 0.000 0.000
0.000 5.523 0.000
0.000 0.000 6.288
ATOMIC_POSITIONS crystal
Ca 0.000 0.000 0.000
Sc 0.000 0.000 0.500
Hg 0.500 0.500 0.000
Te 0.000 0.500 0.500
Te 0.500 0.000 0.500



The lowest E belongs to which entry? Rb3CuOs2O9



Which of these has the lowest E? Rb3CuOs2O9



What did the sixth record say?
! CaScHgTe2 (PBE-GGA, relaxed); values from VASP
! SG: No. 123
! E, eV per cell: -16.4
! Raw formation energy, eV/atom: -0.303
&SYSTEM
  ibrav = 0, nat = 5, ntyp = 4
/
ATOMIC_SPECIES
Ca 40.08 Ca.upf
Sc 44.96 Sc.upf
Hg 200.59 Hg.upf
Te 127.60 Te.upf
CELL_PARAMETERS angstrom
5.523 0.000 0.000
0.000 5.523 0.000
0.000 0.000 6.288
ATOMIC_POSITIONS crystal
Ca 0.000 0.000 0.000
Sc 0.000 0.000 0.500
Hg 0.500 0.500 0.000
Te 0.000 0.500 0.500
Te 0.500 0.000 0.500



E of number 2 (LaPbS2N)? -25.9 eV per cell